Entry 1:
# AcReBi

An optimized crystal structure of AcReBi (GGA-PBE, the Open Quantum Materials Database).

Structure (POSCAR):
```
AcReBi
1.0
0.0000 3.5049 3.5049
3.5049 0.0000 3.5049
3.5049 3.5049 0.0000
Ac Re Bi
1 1 1
direct
0.0000 0.0000 0.0000 Ac
0.2500 0.2500 0.2500 Re
0.5000 0.5000 0.5000 Bi
```

Output
Space group: F-43m (216)
Magnetization, μB per formula unit: 0.05
Electronic total energy, eV for the cell shown: -19.1



Entry 2:
# AcReBi

An optimized crystal structure of AcReBi (GGA-PBE, the Open Quantum Materials Database).

Structure (POSCAR):
```
AcReBi
1.0
0.0000 3.7493 3.7493
3.7493 0.0000 3.7493
3.7493 3.7493 0.0000
Ac Re Bi
1 1 1
direct
0.0000 0.0000 0.0000 Ac
0.2500 0.2500 0.2500 Re
0.7500 0.7500 0.7500 Bi
```

Output
Space group: F-43m (216)
Magnetization, μB per formula unit: 2.77
Electronic total energy, eV for the cell shown: -16.2



Entry 3:
# AcSmBi

An optimized crystal structure of AcSmBi (GGA-PBE, the Open Quantum Materials Database).

Structure (POSCAR):
```
AcSmBi
1.0
0.0000 3.8748 3.8748
3.8748 0.0000 3.8748
3.8748 3.8748 0.0000
Ac Sm Bi
1 1 1
direct
0.0000 0.0000 0.0000 Ac
0.5000 0.5000 0.5000 Sm
0.2500 0.2500 0.2500 Bi
```

Output
Space group: F-43m (216)
Magnetization, μB per formula unit: 0.02
Electronic total energy, eV for the cell shown: -14.0



Entry 4:
# AcTaBi

An optimized crystal structure of AcTaBi (GGA-PBE, the Open Quantum Materials Database).

Structure (POSCAR):
```
AcTaBi
1.0
0.0000 3.8425 3.8425
3.8425 0.0000 3.8425
3.8425 3.8425 0.0000
Ac Ta Bi
1 1 1
direct
0.0000 0.0000 0.0000 Ac
0.2500 0.2500 0.2500 Ta
0.7500 0.7500 0.7500 Bi
```

Output
Space group: F-43m (216)
Magnetization, μB per formula unit: 3.55
Electronic total energy, eV for the cell shown: -16.4



Entry 5:
# AcTaBi

An optimized crystal structure of AcTaBi (GGA-PBE, the Open Quantum Materials Database).

Structure (POSCAR):
```
AcTaBi
1.0
0.0000 3.6800 3.6800
3.6800 0.0000 3.6800
3.6800 3.6800 0.0000
Ac Ta Bi
1 1 1
direct
0.0000 0.0000 0.0000 Ac
0.7500 0.7500 0.7500 Ta
0.5000 0.5000 0.5000 Bi
```

Output
Space group: F-43m (216)
Magnetization, μB per formula unit: 3.81
Electronic total energy, eV for the cell shown: -17.9



Entry 6:
# AcTcBi

An optimized crystal structure of AcTcBi (GGA-PBE, the Open Quantum Materials Database).

Structure (POSCAR):
```
AcTcBi
1.0
0.0000 3.6517 3.6517
3.6517 0.0000 3.6517
3.6517 3.6517 0.0000
Ac Tc Bi
1 1 1
direct
0.0000 0.0000 0.0000 Ac
0.5000 0.5000 0.5000 Tc
0.2500 0.2500 0.2500 Bi
```

Output
Space group: F-43m (216)
Magnetization, μB per formula unit: 2.60
Electronic total energy, eV for the cell shown: -16.8



Entry 7:
# AcTcBi

An optimized crystal structure of AcTcBi (GGA-PBE, the Open Quantum Materials Database).

Structure (POSCAR):
```
AcTcBi
1.0
0.0000 3.7703 3.7703
3.7703 0.0000 3.7703
3.7703 3.7703 0.0000
Ac Tc Bi
1 1 1
direct
0.0000 0.0000 0.0000 Ac
0.2500 0.2500 0.2500 Tc
0.7500 0.7500 0.7500 Bi
```

Output
Space group: F-43m (216)
Magnetization, μB per formula unit: 3.16
Electronic total energy, eV for the cell shown: -15.3



Entry 8:
# AcThBi

An optimized crystal structure of AcThBi (GGA-PBE, the Open Quantum Materials Database).

Structure (POSCAR):
```
AcThBi
1.0
0.0000 3.8842 3.8842
3.8842 0.0000 3.8842
3.8842 3.8842 0.0000
Ac Th Bi
1 1 1
direct
0.0000 0.0000 0.0000 Ac
0.5000 0.5000 0.5000 Th
0.2500 0.2500 0.2500 Bi
```

Output
Space group: F-43m (216)
Magnetization, μB per formula unit: 0.40
Electronic total energy, eV for the cell shown: -15.8



- The lowest electronic total energy belongs to which entry?
  number 1